First-principles (PBE) data for an optimized crystal structure of Sm4Cd5Pd2, as listed in Alexandria via LeMat-Bulk.

The calculation puts the total magnetization at 0.00 μB per formula unit. For the formation energy, the calculation gives -483 meV/atom. The value obtained for the total energy is -3.5595 eV per atom. Its density of states at the Fermi level is 8.7 states/eV/cell. Its crystal system is monoclinic.

It has space group P2/m (No. 10), with a = 7.762 Å, b = 3.692 Å, c = 9.801 Å, α = 90.00°, β = 93.70° and γ = 90.00°. The inequivalent atoms are Sm at (0.169, 0.000, 0.358), Sm at (0.236, 0.000, 0.945), Cd at (0.188, 0.500, 0.653), Cd at (0.449, 0.500, 0.187), Cd at (0.500, 0.500, 0.500) and Pd at (0.067, 0.500, 0.138).